CdHgF3, optimized geometry, DFT PBE; relative energy among the computed polymorphs = 0 kJ/mol of formula units; energy relative to the elements, uncorrected = -1721 meV/atom; spin magnetization = 0.000 μB per cell; DFT total energy = -30.87 eV/cell
1.0
3.6767 0.0000 0.0000
0.0000 6.3792 -0.6468
-1.8383 -0.8990 7.2762
Cd Hg F
2 2 6
Cartesian
1.8383 4.3686 3.6743
0.0000 1.1116 2.9550
1.8383 4.4478 0.0299
0.0000 1.0324 6.5994
1.8383 4.3831 5.8520
0.0000 1.0971 0.7774
0.0000 -0.4196 4.7768
1.8383 5.8999 1.8526
0.0000 3.5311 2.6329
1.8383 1.9491 3.9965